This record from Alexandria describes a relaxed SrH2Pd2 crystal. The functional is PBE.

Values from the calculation:
- Symmetry: I4/mmm (139)
- ρ: 6796 kg/m3
- Polymorph energy (0 for the lowest one): 0.050 eV/atom

POSCAR file:
```
SrH2Pd2
1.0
-1.913 1.913 5.048
1.913 -1.913 5.048
1.913 1.913 -5.048
Sr H Pd
1 2 2
Direct
0.000 0.000 0.000
0.250 0.750 0.500
0.750 0.250 0.500
0.295 0.295 0.000
0.705 0.705 0.000
```